Material: MgPt2Au
Method: DFT, PBE-GGA
State: optimized geometry

The structure in CIF format:
```
data_MgPt2Au
_cell_length_a 4.7915
_cell_length_b 2.9636
_cell_length_c 4.8296
_cell_angle_alpha 90.00
_cell_angle_beta 107.62
_cell_angle_gamma 90.00
_symmetry_space_group_name_H-M 'P 1 2/m 1'
_symmetry_Int_Tables_number 10
loop_
_symmetry_equiv_pos_as_xyz
'x,y,z'
'-x,-y,-z'
'-x,y,-z'
'x,-y,z'
loop_
_atom_site_label
_atom_site_type_symbol
_atom_site_fract_x
_atom_site_fract_y
_atom_site_fract_z
_atom_site_occupancy
Mg1 Mg 0.0000 0.0000 0.0000 1
Pt1 Pt 0.5000 0.0000 0.5000 1
Pt2 Pt 0.5000 0.5000 0.0000 1
Au1 Au 0.0000 0.5000 0.5000 1
```

Summary:
As for the formation energy: -454 meV/atom. As for the density of states at the Fermi level: 1.772 states/eV per cell. Its total magnetic moment is 0.00 μB per formula unit.


Material: Y2HBr3
Method: DFT, PBE-GGA
State: optimized geometry

The structure in CIF format:
```
data_Y2HBr3
_cell_length_a 17.8283
_cell_length_b 3.8366
_cell_length_c 11.2709
_cell_angle_alpha 90.00
_cell_angle_beta 121.84
_cell_angle_gamma 90.00
_symmetry_space_group_name_H-M 'C 1 2/m 1'
_symmetry_Int_Tables_number 12
loop_
_symmetry_equiv_pos_as_xyz
'x,y,z'
'-x,-y,-z'
'-x,y,-z'
'x,-y,z'
'x+1/2,y+1/2,z'
'-x+1/2,-y+1/2,-z'
'-x+1/2,y+1/2,-z'
'x+1/2,-y+1/2,z'
loop_
_atom_site_label
_atom_site_type_symbol
_atom_site_fract_x
_atom_site_fract_y
_atom_site_fract_z
_atom_site_occupancy
Y1 Y 0.0745 0.0000 0.4618 1
Y2 Y 0.1379 0.5000 0.7948 1
H1 H 0.0779 0.0000 0.6656 1
Br1 Br 0.0373 0.5000 0.2447 1
Br2 Br 0.1652 0.0000 0.0101 1
Br3 Br 0.2138 0.5000 0.6192 1
```

Summary:
The value obtained for the total energy is -4.94 eV/atom. As for the density of states at the Fermi level: 8.776 states/eV per cell. Its total magnetic moment is 0.97 μB per formula unit.


Material: La5ErIn2
Method: DFT, PBE-GGA
State: optimized geometry

The structure in CIF format:
```
data_La5ErIn2
_cell_length_a 7.9715
_cell_length_b 16.5383
_cell_length_c 3.8324
_cell_angle_alpha 90.00
_cell_angle_beta 90.00
_cell_angle_gamma 90.00
_symmetry_space_group_name_H-M 'P b a m'
_symmetry_Int_Tables_number 55
loop_
_symmetry_equiv_pos_as_xyz
'x,y,z'
'-x,-y,-z'
'-x,-y,z'
'x,y,-z'
'x+1/2,-y+1/2,-z'
'-x+1/2,y+1/2,z'
'-x+1/2,y+1/2,-z'
'x+1/2,-y+1/2,z'
loop_
_atom_site_label
_atom_site_type_symbol
_atom_site_fract_x
_atom_site_fract_y
_atom_site_fract_z
_atom_site_occupancy
La1 La 0.0000 0.0000 0.0000 1
La2 La 0.0156 0.2474 0.0000 1
La3 La 0.2253 0.8712 0.5000 1
Er1 Er 0.0000 0.5000 0.0000 1
In1 In 0.2291 0.6193 0.5000 1
```

Summary:
As for the formation energy: -192 meV/atom. For the energy above the most stable polymorph in this dataset, the calculation gives 0.00 kJ per mole of atoms. As for the density of states at the Fermi level: 19.872 states/eV per cell. Its total magnetic moment is 0.00 μB per formula unit.


Material: YBi2MoW
Method: DFT, PBE-GGA
State: optimized geometry

The structure in CIF format:
```
data_YBi2MoW
_cell_length_a 5.3623
_cell_length_b 5.3623
_cell_length_c 5.3734
_cell_angle_alpha 90.00
_cell_angle_beta 90.00
_cell_angle_gamma 90.00
_symmetry_space_group_name_H-M 'P 4/m m m'
_symmetry_Int_Tables_number 123
_symmetry_space_group_name_Hall '-P 4 2'
loop_
_atom_site_label
_atom_site_type_symbol
_atom_site_fract_x
_atom_site_fract_y
_atom_site_fract_z
_atom_site_occupancy
Y1 Y 0.0000 0.0000 0.0000 1
Bi1 Bi 0.0000 0.5000 0.5000 1
Mo1 Mo 0.5000 0.5000 0.0000 1
W1 W 0.0000 0.0000 0.5000 1
```

Summary:
As for the formation energy: 1323 meV/atom. As for the density of states at the Fermi level: 3.585 states/eV per cell. Its total magnetic moment is 4.34 μB per formula unit.


Material: V2Co2Mo
Method: DFT, PBE-GGA
State: optimized geometry

The structure in CIF format:
```
data_V2Co2Mo
_cell_length_a 6.9265
_cell_length_b 6.9265
_cell_length_c 2.6518
_cell_angle_alpha 90.00
_cell_angle_beta 90.00
_cell_angle_gamma 90.00
_symmetry_space_group_name_H-M 'P 4/m b m'
_symmetry_Int_Tables_number 127
_symmetry_space_group_name_Hall '-P 4 2ab'
loop_
_atom_site_label
_atom_site_type_symbol
_atom_site_fract_x
_atom_site_fract_y
_atom_site_fract_z
_atom_site_occupancy
V1 V 0.1663 0.3337 0.0000 1
Co1 Co 0.1294 0.6294 0.5000 1
Mo1 Mo 0.0000 0.0000 0.5000 1
```

Summary:
As for the formation energy: -27 meV/atom. For the energy above the most stable polymorph in this dataset, the calculation gives 0.00 kJ per mole of atoms. As for the density of states at the Fermi level: 10.867 states/eV per cell. Its total magnetic moment is 0.00 μB per formula unit.


Material: LaMgPt2
Method: DFT, PBE-GGA
State: optimized geometry

The structure in CIF format:
```
data_LaMgPt2
_cell_length_a 3.9999
_cell_length_b 4.0135
_cell_length_c 5.7001
_cell_angle_alpha 90.00
_cell_angle_beta 90.00
_cell_angle_gamma 90.00
_symmetry_space_group_name_H-M 'P m m 2'
_symmetry_Int_Tables_number 25
loop_
_symmetry_equiv_pos_as_xyz
'x,y,z'
'-x,-y,z'
'-x,y,z'
'x,-y,z'
loop_
_atom_site_label
_atom_site_type_symbol
_atom_site_fract_x
_atom_site_fract_y
_atom_site_fract_z
_atom_site_occupancy
La1 La 0.0000 0.0000 0.0000 1
Mg1 Mg 0.5000 0.5000 0.4026 1
Pt1 Pt 0.0000 0.0000 0.4932 1
Pt2 Pt 0.5000 0.5000 0.8811 1
```

Summary:
As for the formation energy: -760 meV/atom. As for the density of states at the Fermi level: 1.795 states/eV per cell. Its total magnetic moment is 0.00 μB per formula unit.


Material: Zr2MoW
Method: DFT, PBE-GGA
State: optimized geometry

The structure in CIF format:
```
data_Zr2MoW
_cell_length_a 3.2655
_cell_length_b 4.8550
_cell_length_c 9.6374
_cell_angle_alpha 90.00
_cell_angle_beta 90.00
_cell_angle_gamma 90.00
_symmetry_space_group_name_H-M 'C m m 2'
_symmetry_Int_Tables_number 35
loop_
_symmetry_equiv_pos_as_xyz
'x,y,z'
'-x,-y,z'
'-x,y,z'
'x,-y,z'
'x+1/2,y+1/2,z'
'-x+1/2,-y+1/2,z'
'-x+1/2,y+1/2,z'
'x+1/2,-y+1/2,z'
loop_
_atom_site_label
_atom_site_type_symbol
_atom_site_fract_x
_atom_site_fract_y
_atom_site_fract_z
_atom_site_occupancy
Zr1 Zr 0.0000 0.0000 0.0000 1
Zr2 Zr 0.0000 0.5000 0.2966 1
Mo1 Mo 0.0000 0.0000 0.5406 1
W1 W 0.0000 0.5000 0.7526 1
```

Summary:
As for the formation energy: 109 meV/atom. For the energy above the most stable polymorph in this dataset, the calculation gives 7.73 kJ per mole of atoms. As for the density of states at the Fermi level: 9.400 states/eV per cell. Its total magnetic moment is 0.00 μB per formula unit.


Material: SrMgSb2
Method: DFT, PBE-GGA
State: optimized geometry

The structure in CIF format:
```
data_SrMgSb2
_cell_length_a 4.5658
_cell_length_b 4.5658
_cell_length_c 10.9483
_cell_angle_alpha 90.00
_cell_angle_beta 90.00
_cell_angle_gamma 90.00
_symmetry_space_group_name_H-M 'I -4 m 2'
_symmetry_Int_Tables_number 119
_symmetry_space_group_name_Hall 'I -4 -2'
loop_
_atom_site_label
_atom_site_type_symbol
_atom_site_fract_x
_atom_site_fract_y
_atom_site_fract_z
_atom_site_occupancy
Sr1 Sr 0.0000 0.0000 0.0000 1
Mg1 Mg 0.0000 0.5000 0.7500 1
Sb1 Sb 0.0000 0.0000 0.5000 1
Sb2 Sb 0.0000 0.5000 0.2500 1
```

Summary:
As for the density of states at the Fermi level: 3.915 states/eV per cell. Its raw formation energy is -0.433 eV/atom. Its total magnetic moment is 0.00 μB per formula unit.


Material: Cu3Si
Method: DFT, PBE-GGA
State: optimized geometry

The structure in CIF format:
```
data_Cu3Si
_cell_length_a 2.6549
_cell_length_b 3.6205
_cell_length_c 5.0810
_cell_angle_alpha 90.00
_cell_angle_beta 90.00
_cell_angle_gamma 90.00
_symmetry_space_group_name_H-M 'P m m m'
_symmetry_Int_Tables_number 47
loop_
_symmetry_equiv_pos_as_xyz
'x,y,z'
'-x,-y,-z'
'-x,-y,z'
'x,y,-z'
'x,-y,-z'
'-x,y,z'
'-x,y,-z'
'x,-y,z'
loop_
_atom_site_label
_atom_site_type_symbol
_atom_site_fract_x
_atom_site_fract_y
_atom_site_fract_z
_atom_site_occupancy
Cu1 Cu 0.0000 0.0000 0.0000 1
Cu2 Cu 0.5000 0.5000 0.2524 1
Si1 Si 0.0000 0.0000 0.5000 1
```

Summary:
As for the density of states at the Fermi level: 1.639 states/eV per cell. Its raw formation energy is 0.001 eV/atom. Its total magnetic moment is 0.00 μB per formula unit.


Material: Li3Pa3CuSe8
Method: DFT, PBE-GGA
State: optimized geometry

The structure in CIF format:
```
data_Li3Pa3CuSe8
_cell_length_a 13.8624
_cell_length_b 8.0187
_cell_length_c 8.0060
_cell_angle_alpha 90.00
_cell_angle_beta 125.26
_cell_angle_gamma 90.00
_symmetry_space_group_name_H-M 'C 1 2/m 1'
_symmetry_Int_Tables_number 12
loop_
_symmetry_equiv_pos_as_xyz
'x,y,z'
'-x,-y,-z'
'-x,y,-z'
'x,-y,z'
'x+1/2,y+1/2,z'
'-x+1/2,-y+1/2,-z'
'-x+1/2,y+1/2,-z'
'x+1/2,-y+1/2,z'
loop_
_atom_site_label
_atom_site_type_symbol
_atom_site_fract_x
_atom_site_fract_y
_atom_site_fract_z
_atom_site_occupancy
Li1 Li 0.0000 0.0000 0.0000 1
Li2 Li 0.2500 0.2500 0.0000 1
Pa1 Pa 0.0000 0.5000 0.5000 1
Pa2 Pa 0.2500 0.2500 0.5000 1
Cu1 Cu 0.0000 0.0000 0.5000 1
Se1 Se 0.9999 0.2448 0.2554 1
Se2 Se 0.2434 0.0000 0.7433 1
Se3 Se 0.2446 0.0000 0.2343 1
```

Summary:
As for the density of states at the Fermi level: 33.175 states/eV per cell. Its raw formation energy is -1.128 eV/atom. Its total magnetic moment is 3.02 μB per formula unit.


Material: DyCdF6
Method: DFT, PBE-GGA
State: optimized geometry

The structure in CIF format:
```
data_DyCdF6
_cell_length_a 3.4633
_cell_length_b 6.9656
_cell_length_c 10.1252
_cell_angle_alpha 90.00
_cell_angle_beta 90.00
_cell_angle_gamma 90.00
_symmetry_space_group_name_H-M 'A m m 2'
_symmetry_Int_Tables_number 38
loop_
_symmetry_equiv_pos_as_xyz
'x,y,z'
'-x,-y,z'
'-x,y,z'
'x,-y,z'
'x,y+1/2,z+1/2'
'-x,-y+1/2,z+1/2'
'-x,y+1/2,z+1/2'
'x,-y+1/2,z+1/2'
loop_
_atom_site_label
_atom_site_type_symbol
_atom_site_fract_x
_atom_site_fract_y
_atom_site_fract_z
_atom_site_occupancy
Dy1 Dy 0.0000 0.0000 0.0000 1
Cd1 Cd 0.5000 0.0000 0.5225 1
F1 F 0.0000 0.0000 0.6609 1
F2 F 0.0000 0.1898 0.4262 1
F3 F 0.5000 0.0000 0.8632 1
F4 F 0.5000 0.1711 0.1011 1
```

Summary:
As for the density of states at the Fermi level: 16.651 states/eV per cell. Its raw formation energy is -2.739 eV/atom. Its total magnetic moment is 1.05 μB per formula unit.


Material: K4TaTe4
Method: DFT, PBE-GGA
State: optimized geometry

The structure in CIF format:
```
data_K4TaTe4
_cell_length_a 8.2729
_cell_length_b 8.2729
_cell_length_c 13.4866
_cell_angle_alpha 90.00
_cell_angle_beta 90.00
_cell_angle_gamma 90.00
_symmetry_space_group_name_H-M 'I -4 2 m'
_symmetry_Int_Tables_number 121
_symmetry_space_group_name_Hall 'I -4 2'
loop_
_atom_site_label
_atom_site_type_symbol
_atom_site_fract_x
_atom_site_fract_y
_atom_site_fract_z
_atom_site_occupancy
K1 K 0.0000 0.0000 0.1896 1
K2 K 0.0000 0.5000 0.0000 1
Ta1 Ta 0.0000 0.0000 0.5000 1
Te1 Te 0.1885 0.1885 0.3854 1
```

Summary:
As for the density of states at the Fermi level: 9.230 states/eV per cell. Its raw formation energy is -0.701 eV/atom. Its total magnetic moment is 1.03 μB per formula unit.


Which value of total magnetic moment does entry 1 give? 0.00 μB per formula unit


What did the eighth record say?
Material: SrMgSb2
Method: DFT, PBE-GGA
State: optimized geometry

The structure in CIF format:
```
data_SrMgSb2
_cell_length_a 4.5658
_cell_length_b 4.5658
_cell_length_c 10.9483
_cell_angle_alpha 90.00
_cell_angle_beta 90.00
_cell_angle_gamma 90.00
_symmetry_space_group_name_H-M 'I -4 m 2'
_symmetry_Int_Tables_number 119
_symmetry_space_group_name_Hall 'I -4 -2'
loop_
_atom_site_label
_atom_site_type_symbol
_atom_site_fract_x
_atom_site_fract_y
_atom_site_fract_z
_atom_site_occupancy
Sr1 Sr 0.0000 0.0000 0.0000 1
Mg1 Mg 0.0000 0.5000 0.7500 1
Sb1 Sb 0.0000 0.0000 0.5000 1
Sb2 Sb 0.0000 0.5000 0.2500 1
```

Summary:
As for the density of states at the Fermi level: 3.915 states/eV per cell. Its raw formation energy is -0.433 eV/atom. Its total magnetic moment is 0.00 μB per formula unit.


Look up the total magnetic moment of the fifth one. 0.00 μB per formula unit